Material: MnFe3I
Method: DFT, PBE
State: relaxed

- Symmetry: Pm-3m (221)
- ΔE_f (raw): 7.83 eV/f.u.
- E_tot: -28.28 eV for the cell shown

Lattice parameters (Å, degrees): 4.6191 4.6191 4.6191 90.00 90.00 90.00
Closest atoms and distances in Å follow each position.
Atoms (fractional coordinates):
Mn1 0.0000 0.0000 0.0000  12 Fe 3.27
Fe1 0.0000 0.5000 0.5000  2 I 2.31
Fe2 0.5000 0.0000 0.5000  2 I 2.31
Fe3 0.5000 0.5000 0.0000  2 I 2.31
I1 0.5000 0.5000 0.5000  6 Fe 2.31

---

Material: TlTc2Au
Method: DFT, PBE
State: relaxed

- Symmetry: C2/m (12)
- Formation energy from the elements: 2.4 eV/f.u.
- E_tot: -23.99 eV for the cell shown

Lattice parameters (Å, degrees): 4.9231 4.9231 5.2472 102.07 102.07 35.21
Closest atoms and distances in Å follow each position.
Atoms (fractional coordinates):
Tl1 0.0000 0.0000 0.0000  6 Tc 2.93-3.08, 2 Tl 2.98, 4 Au 3.02
Tc1 0.2495 0.2495 0.7030  2 Tc 2.60, 3 Au 2.78-2.79
Tc2 0.7505 0.7505 0.2970  2 Tc 2.60, 3 Au 2.78-2.79
Au1 0.5000 0.5000 0.5000  6 Tc 2.78-2.79, 2 Au 2.98, 4 Tl 3.02